! Al2CrAs, PBEsol geometry, DFT SCAN; values from VASP
&SYSTEM
  ibrav = 0, nat = 4, ntyp = 3
/
ATOMIC_SPECIES
Cr 52.00 Cr.upf
Al 26.98 Al.upf
As 74.92 As.upf
ATOMIC_POSITIONS crystal
Cr 0.500 0.000 0.000
Al 0.000 0.500 0.000
As 0.500 0.500 0.500
Al 0.000 0.000 0.500
CELL_PARAMETERS angstrom
3.531 0.000 0.000
0.000 4.147 0.000
0.000 0.000 4.147
! calculated formation energy: -0.22 eV per formula unit
! symmetry: P4/mmm, No. 123

! Al2CrInAs, PBEsol geometry, DFT SCAN; values from VASP
&SYSTEM
  ibrav = 0, nat = 5, ntyp = 4
/
ATOMIC_SPECIES
Cr 52.00 Cr.upf
As 74.92 As.upf
Al 26.98 Al.upf
In 114.82 In.upf
ATOMIC_POSITIONS crystal
Cr 0.000 0.000 0.000
As 0.500 0.500 0.500
Al 0.000 0.500 0.000
Al 0.500 0.000 0.000
In 0.000 0.000 0.500
CELL_PARAMETERS angstrom
4.699 0.000 0.000
0.000 4.699 0.000
0.000 0.000 5.046
! calculated formation energy: 3.65 eV per formula unit
! symmetry: P4/mmm, No. 123

! AlCrAsSe2, PBEsol geometry, DFT SCAN; values from VASP
&SYSTEM
  ibrav = 0, nat = 5, ntyp = 4
/
ATOMIC_SPECIES
Se 78.96 Se.upf
Cr 52.00 Cr.upf
As 74.92 As.upf
Al 26.98 Al.upf
ATOMIC_POSITIONS crystal
Se 0.000 0.500 0.000
Cr 0.500 0.500 0.500
Se 0.000 0.000 0.500
As 0.500 0.000 0.000
Al 0.000 0.000 0.000
CELL_PARAMETERS angstrom
-0.128 4.076 -2.411
-4.422 0.890 1.738
1.948 2.297 3.780
! ΔE_f (raw): 1.4 eV per formula unit
! symmetry: P4/mmm, No. 123

! CsAlAs3, PBEsol geometry, DFT SCAN; values from VASP
&SYSTEM
  ibrav = 0, nat = 5, ntyp = 3
/
ATOMIC_SPECIES
As 74.92 As.upf
Cs 132.91 Cs.upf
Al 26.98 Al.upf
ATOMIC_POSITIONS crystal
As 0.000 0.000 0.500
As 0.500 0.000 0.000
As 0.000 0.500 0.000
Cs 0.500 0.500 0.500
Al 0.000 0.000 0.000
CELL_PARAMETERS angstrom
-1.656 -0.565 4.719
3.838 -3.107 0.975
2.803 3.919 1.453
! calculated formation energy: 0.88 eV per formula unit
! symmetry: Pm-3m, No. 221

! Al4CuAs, PBEsol geometry, DFT SCAN; values from VASP
&SYSTEM
  ibrav = 0, nat = 6, ntyp = 3
/
ATOMIC_SPECIES
Al 26.98 Al.upf
Cu 63.55 Cu.upf
As 74.92 As.upf
ATOMIC_POSITIONS crystal
Al 0.374 0.374 0.374
Al 0.877 0.374 0.374
Al 0.374 0.877 0.374
Al 0.374 0.374 0.877
Cu 0.000 0.000 0.000
As 0.750 0.750 0.750
CELL_PARAMETERS angstrom
-5.134 -0.447 -0.793
-2.859 -3.070 3.097
-3.355 2.113 3.386
! calculated formation energy: 2.04 eV per formula unit
! symmetry: F-43m, No. 216

! AlCu3As, PBEsol geometry, DFT SCAN; values from VASP
&SYSTEM
  ibrav = 0, nat = 5, ntyp = 3
/
ATOMIC_SPECIES
As 74.92 As.upf
Cu 63.55 Cu.upf
Al 26.98 Al.upf
ATOMIC_POSITIONS crystal
As 0.000 0.000 0.000
Cu 0.000 0.000 0.500
Cu 0.000 0.500 0.000
Al 0.500 0.500 0.500
Cu 0.500 0.000 0.000
CELL_PARAMETERS angstrom
-2.292 -3.655 1.202
2.975 -0.796 3.252
-2.441 2.463 2.835
! calculated formation energy: 2.64 eV per formula unit
! symmetry: Pm-3m, No. 221

! AlCu2As, PBEsol geometry, DFT SCAN; values from VASP
&SYSTEM
  ibrav = 0, nat = 4, ntyp = 3
/
ATOMIC_SPECIES
Cu 63.55 Cu.upf
Al 26.98 Al.upf
As 74.92 As.upf
ATOMIC_POSITIONS crystal
Cu 0.000 0.000 0.022
Al 0.000 0.000 0.457
Cu 0.500 0.500 0.241
As 0.500 0.500 0.780
CELL_PARAMETERS angstrom
-0.654 -2.283 1.516
2.289 0.402 1.593
-3.828 4.068 4.475
! calculated formation energy: 0.25 eV per formula unit
! symmetry: P4mm, No. 99

! AlGaCu2As2O10, PBEsol geometry, DFT SCAN; values from VASP
&SYSTEM
  ibrav = 0, nat = 32, ntyp = 5
/
ATOMIC_SPECIES
As 74.92 As.upf
Ga 69.72 Ga.upf
O 16.00 O.upf
Cu 63.55 Cu.upf
Al 26.98 Al.upf
ATOMIC_POSITIONS crystal
As 0.670 0.723 0.887
Ga 0.689 0.144 0.823
O 0.126 0.907 0.710
As 0.175 0.728 0.614
O 0.399 0.629 0.960
O 0.486 0.242 0.718
O 0.794 0.561 0.807
O 0.620 0.895 0.785
O 0.005 0.760 0.277
O 0.380 0.105 0.285
Cu 0.837 0.541 0.362
As 0.825 0.272 0.114
Cu 0.163 0.459 0.862
O 0.904 0.635 0.541
O 0.862 0.813 0.009
Al 0.191 0.146 0.676
Ga 0.311 0.856 0.323
O 0.138 0.187 0.509
O 0.622 0.188 0.995
As 0.330 0.277 0.387
O 0.707 0.436 0.197
O 0.995 0.240 0.777
O 0.206 0.439 0.307
O 0.601 0.371 0.460
Al 0.809 0.854 0.176
O 0.874 0.093 0.210
O 0.514 0.758 0.218
O 0.378 0.812 0.495
O 0.293 0.564 0.697
Cu 0.665 0.463 0.639
Cu 0.335 0.537 0.139
O 0.096 0.365 0.041
CELL_PARAMETERS angstrom
5.708 -0.006 0.000
-1.362 7.247 0.000
0.000 0.000 10.199
! ΔE_f (raw): -26.3 eV per formula unit
! symmetry: P2_1, No. 4